Below is a relaxed Ac4TlPBr2 crystal, with properties calculated at the PBE level.

Lattice parameters (Å, degrees): 7.984 4.523 8.177 90.00 109.19 90.00
Fractional positions:
Ac1 0.219 0.000 0.224
Ac2 0.235 0.500 0.769
Ac3 0.765 0.500 0.231
Ac4 0.781 0.000 0.776
Tl1 0.000 0.000 0.500
P1 0.000 0.500 0.000
Br1 0.500 0.000 0.000
Br2 0.500 0.500 0.500

Properties
Space-group type ... P2/m (10)
Spin magnetization ... 0.00 μB/cell
Crystal system ... monoclinic
Energy ... -36.3 eV/cell